A geometry-optimized LiTbCu2P2 structure, computed with PBE.

Unit cell a=3.988 b=3.988 c=6.624 alpha=90.00 beta=90.00 gamma=60.00
Atoms (fractional coordinates):
P 0.667 0.667 0.263
P 0.333 0.333 0.737
Tb 0.000 0.000 0.000
Cu 0.667 0.667 0.672
Cu 0.333 0.333 0.328
Li 0.000 0.000 0.500

Computed properties:
energy of formation from the pure elements = -0.81 eV/atom
magnetic moment = 0.00 μB per formula unit